Entry from Alexandria via LeMat-Bulk: a relaxed structure of Mn3CdRu (GGA-PBEsol).

a b c (Å): 4.600 4.600 4.600
angles (deg): 90.00 90.00 90.00
Sites, in units of the cell vectors:
1 Mn 0.000 0.000 0.500
2 Mn 0.000 0.500 0.000
3 Mn 0.500 0.000 0.000
4 Cd 0.500 0.500 0.500
5 Ru 0.000 0.000 0.000

Results
Calculated formation energy (eV per formula unit): 6.360
N(E_F) (states/eV/f.u.): 7.57